A relaxed structure of Hf2Ir2Pb, computed with GGA-PBE.

Output
- calculated volume (Å³/f.u.) = 109.4
- ΔH_f (0 K) (meV per atom) = -542
- energy (eV/atom) = -8.809
- mass density (g cm⁻³) = 14.403

Cell and atoms, written as extended XYZ:
```
5
Lattice="-2.252 2.252 5.390 2.252 -2.252 5.390 2.252 2.252 -5.390" Properties=species:S:1:pos:R:3 pbc="T T T"
Hf 2.252 0.000 2.695
Hf 0.000 2.252 2.695
Ir 0.000 0.000 1.284
Ir 0.000 0.000 9.496
Pb 0.000 0.000 5.390
```